No. 1
The following is a DFT calculation (PBE-GGA) of a relaxed structure of Tb6HgC3.

Structure (POSCAR):
```
Tb6HgC3
1.0
11.252 0.000 0.000
0.000 3.625 0.000
-3.730 0.000 10.905
Tb Hg C
12 2 6
Direct
0.036 0.250 0.380 Tb
0.148 0.750 0.135 Tb
0.256 0.250 0.668 Tb
0.316 0.750 0.434 Tb
0.368 0.750 0.948 Tb
0.443 0.250 0.237 Tb
0.557 0.750 0.763 Tb
0.632 0.250 0.052 Tb
0.684 0.250 0.566 Tb
0.744 0.750 0.332 Tb
0.852 0.250 0.865 Tb
0.964 0.750 0.620 Tb
0.129 0.250 0.885 Hg
0.871 0.750 0.115 Hg
0.150 0.750 0.529 C
0.239 0.250 0.285 C
0.467 0.250 0.854 C
0.533 0.750 0.146 C
0.761 0.750 0.715 C
0.850 0.250 0.471 C
```

Results
ΔH_f (0 K): -0.28 eV per atom
total moment: 0.349 μB per cell

=====

No. 2
The following is a DFT calculation (PBE-GGA) of a relaxed structure of Tb3HgC.

Structure (POSCAR):
```
Tb3HgC
1.0
8.825 0.000 0.000
0.000 3.657 0.000
0.000 0.000 14.769
Tb Hg C
12 4 4
Direct
0.023 0.250 0.099 Tb
0.180 0.250 0.506 Tb
0.217 0.750 0.301 Tb
0.283 0.250 0.801 Tb
0.320 0.750 0.006 Tb
0.477 0.750 0.599 Tb
0.523 0.250 0.401 Tb
0.680 0.250 0.994 Tb
0.717 0.750 0.199 Tb
0.783 0.250 0.699 Tb
0.820 0.750 0.494 Tb
0.977 0.750 0.901 Tb
0.079 0.750 0.673 Hg
0.421 0.250 0.173 Hg
0.579 0.750 0.827 Hg
0.921 0.250 0.327 Hg
0.155 0.250 0.947 C
0.345 0.750 0.447 C
0.655 0.250 0.553 C
0.845 0.750 0.053 C
```

Results
ΔH_f (0 K): -0.37 eV per atom
relative energy among the computed polymorphs: 0.00 eV per formula unit
total moment: 0.002 μB per cell

=====

No. 3
The following is a DFT calculation (PBE-GGA) of a relaxed structure of Tb6Hg3C.

Structure (POSCAR):
```
Tb6Hg3C
1.0
6.598 0.000 0.000
0.000 8.064 0.000
-5.699 0.000 10.101
Tb Hg C
12 6 2
Direct
0.078 0.051 0.226 Tb
0.078 0.449 0.726 Tb
0.184 0.719 0.065 Tb
0.184 0.781 0.565 Tb
0.371 0.147 0.054 Tb
0.371 0.353 0.554 Tb
0.629 0.647 0.446 Tb
0.629 0.853 0.946 Tb
0.816 0.219 0.435 Tb
0.816 0.281 0.935 Tb
0.922 0.551 0.274 Tb
0.922 0.949 0.774 Tb
0.313 0.111 0.740 Hg
0.313 0.389 0.240 Hg
0.500 0.000 0.500 Hg
0.500 0.500 0.000 Hg
0.687 0.611 0.760 Hg
0.687 0.889 0.260 Hg
0.000 0.000 0.000 C
0.000 0.500 0.500 C
```

Results
ΔH_f (0 K): -0.32 eV per atom
total moment: 0.004 μB per cell

=====

No. 4
The following is a DFT calculation (PBE-GGA) of a relaxed structure of Tb2HgC.

Structure (POSCAR):
```
Tb2HgC
1.0
3.164 -1.823 0.000
3.164 1.823 0.000
-2.096 0.000 7.813
Tb Hg C
2 1 1
Direct
0.224 0.224 0.174 Tb
0.776 0.776 0.826 Tb
0.000 0.000 0.500 Hg
0.500 0.500 0.000 C
```

Results
ΔH_f (0 K): -0.37 eV per atom
total moment: 0.950 μB per cell

=====

No. 5
The following is a DFT calculation (PBE-GGA) of a relaxed structure of Tb8Hg2C3.

Structure (POSCAR):
```
Tb8Hg2C3
1.0
7.286 -3.632 0.000
7.286 3.632 0.000
-1.922 0.000 6.225
Tb Hg C
8 2 3
Direct
0.101 0.101 0.895 Tb
0.143 0.669 0.613 Tb
0.331 0.857 0.387 Tb
0.389 0.389 0.032 Tb
0.611 0.611 0.968 Tb
0.669 0.143 0.613 Tb
0.857 0.331 0.387 Tb
0.899 0.899 0.105 Tb
0.263 0.263 0.327 Hg
0.737 0.737 0.673 Hg
0.000 0.000 0.500 C
0.252 0.748 0.000 C
0.748 0.252 0.000 C
```

Results
ΔH_f (0 K): -0.24 eV per atom
total moment: 0.000 μB per cell

=====

No. 6
The following is a DFT calculation (PBE-GGA) of a relaxed structure of Tb2TcHgC.

Structure (POSCAR):
```
Tb2TcHgC
1.0
5.032 0.000 0.000
0.000 5.032 0.000
0.000 0.000 3.997
Tb Tc Hg C
2 1 1 1
Direct
0.000 0.500 0.000 Tb
0.500 0.000 0.000 Tb
0.000 0.000 0.500 Tc
0.500 0.500 0.500 Hg
0.000 0.000 0.000 C
```

Results
ΔH_f (0 K): -0.35 eV per atom
total moment: 0.000 μB per cell

=====

No. 7
The following is a DFT calculation (PBE-GGA) of a relaxed structure of Tb4HgTeC.

Structure (POSCAR):
```
Tb4HgTeC
1.0
3.421 -7.784 0.000
3.421 7.784 0.000
0.000 0.000 6.847
Tb Hg Te C
8 2 2 2
Direct
0.000 0.500 0.000 Tb
0.000 0.500 0.500 Tb
0.084 0.916 0.750 Tb
0.407 0.593 0.750 Tb
0.500 0.000 0.000 Tb
0.500 0.000 0.500 Tb
0.593 0.407 0.250 Tb
0.916 0.084 0.250 Tb
0.115 0.885 0.250 Hg
0.885 0.115 0.750 Hg
0.390 0.610 0.250 Te
0.610 0.390 0.750 Te
0.249 0.751 0.750 C
0.751 0.249 0.250 C
```

Results
E_form (uncorrected): -419 kJ/mol of formula units
total moment: 0.000 μB per cell

=====

No. 8
The following is a DFT calculation (PBE-GGA) of a relaxed structure of TbTh2HgC.

Structure (POSCAR):
```
TbTh2HgC
1.0
5.061 0.000 0.000
0.000 5.061 0.000
0.000 0.000 4.970
Tb Th Hg C
1 2 1 1
Direct
0.000 0.000 0.000 Tb
0.000 0.500 0.500 Th
0.500 0.000 0.500 Th
0.500 0.500 0.000 Hg
0.000 0.000 0.500 C
```

Results
ΔH_f (0 K): -0.28 eV per atom
total moment: 0.000 μB per cell